No. 1
Below is an optimized crystal structure of Sr2PtBr, with properties calculated at the PBE-GGA level.

Cell and atoms, written as CIF:
```
data_Sr2PtBr
_space_group_name_H-M_alt 'P 1 2/m 1'
_space_group_IT_number 10
_cell_length_a 3.7709
_cell_length_b 3.7488
_cell_length_c 8.1835
_cell_angle_alpha 90.00
_cell_angle_beta 90.41
_cell_angle_gamma 90.00
loop_
_space_group_symop_operation_xyz
'x,y,z'
'-x,-y,-z'
'-x,y,-z'
'x,-y,z'
loop_
_atom_site_label
_atom_site_fract_x
_atom_site_fract_y
_atom_site_fract_z
_atom_site_occupancy
Sr1 0.0037 0.0000 0.2145 1
Pt1 0.5000 0.5000 0.0000 1
Br1 0.5000 0.5000 0.5000 1
```

Results
Energy relative to the elements, uncorrected ... -1160 meV per atom
Energy above the lowest structure with this stoichiometry ... 0.0847 eV per atom

***

No. 2
Below is an optimized crystal structure of CeDyCdCo, with properties calculated at the PBE-GGA level.

Cell and atoms, written as CIF:
```
data_CeDyCdCo
_space_group_name_H-M_alt 'F -4 3 m'
_space_group_IT_number 216
_space_group_name_Hall 'F -4 2 3'
_cell_length_a 7.1838
_cell_length_b 7.1838
_cell_length_c 7.1838
_cell_angle_alpha 90.00
_cell_angle_beta 90.00
_cell_angle_gamma 90.00
loop_
_atom_site_label
_atom_site_fract_x
_atom_site_fract_y
_atom_site_fract_z
_atom_site_occupancy
Ce1 0.0000 0.0000 0.0000 1
Dy1 0.0000 0.0000 0.5000 1
Cd1 0.2500 0.2500 0.2500 1
Co1 0.2500 0.2500 0.7500 1
```

Results
Energy of formation from the pure elements ... -0.15 eV/f.u.

***

No. 3
Below is an optimized crystal structure of YS2O, with properties calculated at the PBE-GGA level.

Cell and atoms, written as CIF:
```
data_YS2O
_space_group_name_H-M_alt 'I -4 2 d'
_space_group_IT_number 122
_space_group_name_Hall 'I -4 2bw'
_cell_length_a 4.9570
_cell_length_b 4.9570
_cell_length_c 13.7960
_cell_angle_alpha 90.00
_cell_angle_beta 90.00
_cell_angle_gamma 90.00
loop_
_atom_site_label
_atom_site_fract_x
_atom_site_fract_y
_atom_site_fract_z
_atom_site_occupancy
Y1 0.0000 0.0000 0.0000 1
S1 0.1728 0.2500 0.6250 1
O1 0.0000 0.0000 0.5000 1
```

Results
Energy relative to the elements, uncorrected ... -472 meV per atom

***

No. 4
Below is an optimized crystal structure of Hf2Ge2Cl, with properties calculated at the PBE-GGA level.

Cell and atoms, written as CIF:
```
data_Hf2Ge2Cl
_space_group_name_H-M_alt 'P 4/m b m'
_space_group_IT_number 127
_space_group_name_Hall '-P 4 2ab'
_cell_length_a 7.2929
_cell_length_b 7.2929
_cell_length_c 3.6270
_cell_angle_alpha 90.00
_cell_angle_beta 90.00
_cell_angle_gamma 90.00
loop_
_atom_site_label
_atom_site_fract_x
_atom_site_fract_y
_atom_site_fract_z
_atom_site_occupancy
Hf1 0.1707 0.3293 0.0000 1
Ge1 0.1255 0.6255 0.5000 1
Cl1 0.0000 0.0000 0.0000 1
```

Results
Energy relative to the elements, uncorrected ... -584 meV per atom

***

No. 5
Below is an optimized crystal structure of CaZr3Cl, with properties calculated at the PBE-GGA level.

Cell and atoms, written as CIF:
```
data_CaZr3Cl
_space_group_name_H-M_alt 'P m -3 m'
_space_group_IT_number 221
_space_group_name_Hall '-P 4 2 3'
_cell_length_a 5.2644
_cell_length_b 5.2644
_cell_length_c 5.2644
_cell_angle_alpha 90.00
_cell_angle_beta 90.00
_cell_angle_gamma 90.00
loop_
_atom_site_label
_atom_site_fract_x
_atom_site_fract_y
_atom_site_fract_z
_atom_site_occupancy
Ca1 0.0000 0.0000 0.0000 1
Zr1 0.0000 0.0000 0.5000 1
Cl1 0.5000 0.5000 0.5000 1
```

Results
Energy relative to the elements, uncorrected ... 1660 meV per atom
Energy above the lowest structure with this stoichiometry ... 1.6897 eV per atom

***

No. 6
Below is an optimized crystal structure of LiCe2In, with properties calculated at the PBE-GGA level.

Cell and atoms, written as CIF:
```
data_LiCe2In
_space_group_name_H-M_alt 'R -3 m'
_space_group_IT_number 166
_space_group_name_Hall '-R 3 2"'
_cell_length_a 3.1247
_cell_length_b 3.1247
_cell_length_c 36.4335
_cell_angle_alpha 90.00
_cell_angle_beta 90.00
_cell_angle_gamma 120.00
loop_
_atom_site_label
_atom_site_fract_x
_atom_site_fract_y
_atom_site_fract_z
_atom_site_occupancy
Li1 0.0000 0.0000 0.0000 1
Ce1 0.0000 0.0000 0.0881 1
In1 0.0000 0.0000 0.5000 1
```

Results
Energy of formation from the pure elements ... 0.20 eV/f.u.

***

No. 7
Below is an optimized crystal structure of PuBeAu2, with properties calculated at the PBE-GGA level.

Cell and atoms, written as CIF:
```
data_PuBeAu2
_space_group_name_H-M_alt 'P 4/m m m'
_space_group_IT_number 123
_space_group_name_Hall '-P 4 2'
_cell_length_a 3.0153
_cell_length_b 3.0153
_cell_length_c 7.6899
_cell_angle_alpha 90.00
_cell_angle_beta 90.00
_cell_angle_gamma 90.00
loop_
_atom_site_label
_atom_site_fract_x
_atom_site_fract_y
_atom_site_fract_z
_atom_site_occupancy
Pu1 0.0000 0.0000 0.0000 1
Be1 0.0000 0.0000 0.5000 1
Au1 0.5000 0.5000 0.3126 1
```

Results
Energy of formation from the pure elements ... -0.97 eV/f.u.
Energy above the lowest structure with this stoichiometry ... 0.0000 eV per atom

***

No. 8
Below is an optimized crystal structure of TbYLuAg, with properties calculated at the PBE-GGA level.

Cell and atoms, written as CIF:
```
data_TbYLuAg
_space_group_name_H-M_alt 'F -4 3 m'
_space_group_IT_number 216
_space_group_name_Hall 'F -4 2 3'
_cell_length_a 7.5696
_cell_length_b 7.5696
_cell_length_c 7.5696
_cell_angle_alpha 90.00
_cell_angle_beta 90.00
_cell_angle_gamma 90.00
loop_
_atom_site_label
_atom_site_fract_x
_atom_site_fract_y
_atom_site_fract_z
_atom_site_occupancy
Tb1 0.0000 0.0000 0.0000 1
Y1 0.0000 0.0000 0.5000 1
Lu1 0.2500 0.2500 0.2500 1
Ag1 0.2500 0.2500 0.7500 1
```

Results
Energy of formation from the pure elements ... 0.16 eV/f.u.